DFT (PBE) results for PuNp4 after structural relaxation.

Computed properties:
- formation energy (eV per formula unit) = 2.42
- total magnetization (μB per cell) = 9.881
- Fermi-level density of states (states/eV per atom) = 3.766

The structure in CIF format:
```
data_PuNp4
_cell_length_a 4.849
_cell_length_b 4.849
_cell_length_c 4.849
_cell_angle_alpha 90.00
_cell_angle_beta 90.00
_cell_angle_gamma 90.00
_symmetry_space_group_name_H-M 'P m -3 m'
_symmetry_Int_Tables_number 221
_symmetry_space_group_name_Hall '-P 4 2 3'
loop_
_atom_site_label
_atom_site_fract_x
_atom_site_fract_y
_atom_site_fract_z
Pu1 0.000 0.000 0.000
Np1 0.000 0.000 0.500
Np2 0.500 0.500 0.500
```

=====

DFT (PBE) results for PuNp2 after structural relaxation.

Computed properties:
- formation energy (eV per formula unit) = 0.96
- total magnetization (μB per cell) = 8.341

The structure in CIF format:
```
data_PuNp2
_cell_length_a 3.247
_cell_length_b 3.247
_cell_length_c 11.807
_cell_angle_alpha 90.00
_cell_angle_beta 90.00
_cell_angle_gamma 90.00
_symmetry_space_group_name_H-M 'I 4/m m m'
_symmetry_Int_Tables_number 139
_symmetry_space_group_name_Hall '-I 4 2'
loop_
_atom_site_label
_atom_site_fract_x
_atom_site_fract_y
_atom_site_fract_z
Pu1 0.000 0.000 0.000
Np1 0.000 0.000 0.299
```

=====

DFT (PBE) results for Rb4Pu3NpS8 after structural relaxation.

Computed properties:
- calculated total energy (eV/cell) = -350.2
- total magnetization (μB per cell) = 34.586
- Fermi-level density of states (states/eV per atom) = 2.528

The structure in CIF format:
```
data_Rb4Pu3NpS8
_cell_length_a 8.3118
_cell_length_b 8.3118
_cell_length_c 22.9300
_cell_angle_alpha 90.00
_cell_angle_beta 90.00
_cell_angle_gamma 120.00
_symmetry_space_group_name_H-M 'R -3 m'
_symmetry_Int_Tables_number 166
_symmetry_space_group_name_Hall '-R 3 2"'
loop_
_atom_site_label
_atom_site_fract_x
_atom_site_fract_y
_atom_site_fract_z
Rb1 0.0000 0.0000 0.0000
Rb2 0.0000 0.5000 0.0000
Pu1 0.0000 0.5000 0.5000
Np1 0.0000 0.0000 0.5000
S1 0.0000 0.0000 0.2295
S2 0.0017 0.5008 0.2304
```

=====

DFT (PBE) results for Rb3PuNp3S8 after structural relaxation.

Computed properties:
- calculated total energy (eV/cell) = -220.2
- total magnetization (μB per cell) = 2.745
- Fermi-level density of states (states/eV per atom) = 2.284

The structure in CIF format:
```
data_Rb3PuNp3S8
_cell_length_a 14.253
_cell_length_b 8.171
_cell_length_c 9.084
_cell_angle_alpha 90.00
_cell_angle_beta 121.37
_cell_angle_gamma 90.00
_symmetry_space_group_name_H-M 'C 1 2/m 1'
_symmetry_Int_Tables_number 12
_symmetry_space_group_name_Hall '-C 2y'
loop_
_atom_site_label
_atom_site_fract_x
_atom_site_fract_y
_atom_site_fract_z
Rb1 0.000 0.000 0.000
Rb2 0.250 0.250 0.000
Pu1 0.000 0.000 0.500
Np1 0.000 0.500 0.500
Np2 0.250 0.250 0.500
S1 0.021 0.252 0.315
S2 0.231 0.000 0.685
S3 0.231 0.500 0.690
```

=====

DFT (PBE) results for Rb3PuNp2S6 after structural relaxation.

Computed properties:
- calculated total energy (eV/cell) = -170.4
- total magnetization (μB per cell) = 26.000
- Fermi-level density of states (states/eV per atom) = 2.519

The structure in CIF format:
```
data_Rb3PuNp2S6
_cell_length_a 7.146
_cell_length_b 12.376
_cell_length_c 8.023
_cell_angle_alpha 90.00
_cell_angle_beta 107.27
_cell_angle_gamma 90.00
_symmetry_space_group_name_H-M 'C 1 2/m 1'
_symmetry_Int_Tables_number 12
_symmetry_space_group_name_Hall '-C 2y'
loop_
_atom_site_label
_atom_site_fract_x
_atom_site_fract_y
_atom_site_fract_z
Rb1 0.000 0.000 0.000
Rb2 0.000 0.334 0.000
Pu1 0.000 0.500 0.500
Np1 0.000 0.167 0.500
S1 0.226 0.000 0.690
S2 0.232 0.331 0.690
```

=====

DFT (PBE) results for Rb3Pu3NpS8 after structural relaxation.

Computed properties:
- calculated total energy (eV/cell) = -345.1
- total magnetization (μB per cell) = 54.000
- Fermi-level density of states (states/eV per atom) = 2.445

The structure in CIF format:
```
data_Rb3Pu3NpS8
_cell_length_a 8.1676
_cell_length_b 8.1676
_cell_length_c 23.2802
_cell_angle_alpha 90.00
_cell_angle_beta 90.00
_cell_angle_gamma 120.00
_symmetry_space_group_name_H-M 'R -3 m'
_symmetry_Int_Tables_number 166
_symmetry_space_group_name_Hall '-R 3 2"'
loop_
_atom_site_label
_atom_site_fract_x
_atom_site_fract_y
_atom_site_fract_z
Rb1 0.0000 0.5000 0.0000
Pu1 0.0000 0.5000 0.5000
Np1 0.0000 0.0000 0.5000
S1 0.0000 0.0000 0.2293
S2 0.0062 0.5031 0.2276
```

=====

DFT (PBE) results for Rb4Pu3NpSe8 after structural relaxation.

Computed properties:
- calculated total energy (eV/cell) = -330.5
- total magnetization (μB per cell) = 57.000
- Fermi-level density of states (states/eV per atom) = 2.765

The structure in CIF format:
```
data_Rb4Pu3NpSe8
_cell_length_a 8.6158
_cell_length_b 8.6158
_cell_length_c 23.8667
_cell_angle_alpha 90.00
_cell_angle_beta 90.00
_cell_angle_gamma 120.00
_symmetry_space_group_name_H-M 'R -3 m'
_symmetry_Int_Tables_number 166
_symmetry_space_group_name_Hall '-R 3 2"'
loop_
_atom_site_label
_atom_site_fract_x
_atom_site_fract_y
_atom_site_fract_z
Rb1 0.0000 0.0000 0.0000
Rb2 0.0000 0.5000 0.0000
Pu1 0.0000 0.5000 0.5000
Np1 0.0000 0.0000 0.5000
Se1 0.0000 0.0000 0.2315
Se2 0.0035 0.5017 0.2315
```

=====

DFT (PBE) results for Rb2Pu2NpSe6 after structural relaxation.

Computed properties:
- calculated total energy (eV/cell) = -159.2
- total magnetization (μB per cell) = 26.000
- Fermi-level density of states (states/eV per atom) = 2.925

The structure in CIF format:
```
data_Rb2Pu2NpSe6
_cell_length_a 7.322
_cell_length_b 12.654
_cell_length_c 8.492
_cell_angle_alpha 90.00
_cell_angle_beta 106.81
_cell_angle_gamma 90.00
_symmetry_space_group_name_H-M 'C 1 2/m 1'
_symmetry_Int_Tables_number 12
_symmetry_space_group_name_Hall '-C 2y'
loop_
_atom_site_label
_atom_site_fract_x
_atom_site_fract_y
_atom_site_fract_z
Rb1 0.000 0.168 0.000
Pu1 0.000 0.334 0.500
Np1 0.000 0.000 0.500
Se1 0.228 0.165 0.689
Se2 0.236 0.500 0.689
```

=====

DFT (PBE) results for Rb3PuNp2Se6 after structural relaxation.

Computed properties:
- calculated total energy (eV/cell) = -159.7
- total magnetization (μB per cell) = 26.000
- Fermi-level density of states (states/eV per atom) = 2.808

The structure in CIF format:
```
data_Rb3PuNp2Se6
_cell_length_a 7.451
_cell_length_b 12.906
_cell_length_c 8.352
_cell_angle_alpha 90.00
_cell_angle_beta 107.30
_cell_angle_gamma 90.00
_symmetry_space_group_name_H-M 'C 1 2/m 1'
_symmetry_Int_Tables_number 12
_symmetry_space_group_name_Hall '-C 2y'
loop_
_atom_site_label
_atom_site_fract_x
_atom_site_fract_y
_atom_site_fract_z
Rb1 0.000 0.000 0.000
Rb2 0.000 0.335 0.000
Pu1 0.000 0.500 0.500
Np1 0.000 0.167 0.500
Se1 0.228 0.000 0.695
Se2 0.233 0.332 0.695
```

=====

DFT (PBE) results for Rb4PuNp3Se8 after structural relaxation.

Computed properties:
- calculated total energy (eV/cell) = -317.0
- total magnetization (μB per cell) = 51.000
- Fermi-level density of states (states/eV per atom) = 2.674

The structure in CIF format:
```
data_Rb4PuNp3Se8
_cell_length_a 8.6001
_cell_length_b 8.6001
_cell_length_c 23.9236
_cell_angle_alpha 90.00
_cell_angle_beta 90.00
_cell_angle_gamma 120.00
_symmetry_space_group_name_H-M 'R -3 m'
_symmetry_Int_Tables_number 166
_symmetry_space_group_name_Hall '-R 3 2"'
loop_
_atom_site_label
_atom_site_fract_x
_atom_site_fract_y
_atom_site_fract_z
Rb1 0.0000 0.0000 0.0000
Rb2 0.0000 0.5000 0.0000
Pu1 0.0000 0.0000 0.5000
Np1 0.0000 0.5000 0.5000
Se1 0.0000 0.0000 0.2315
Se2 0.0031 0.5015 0.7683
```

=====

> The highest total magnetization belongs to which entry?

Rb4Pu3NpSe8